# La3NdCu2O8, optimized geometry, DFT GGA-PBEsol
data_La3NdCu2O8
_cell_length_a 12.912
_cell_length_b 5.244
_cell_length_c 5.449
_cell_angle_alpha 90.00
_cell_angle_beta 90.12
_cell_angle_gamma 90.00
_symmetry_space_group_name_H-M 'C 1 m 1'
_symmetry_Int_Tables_number 8
_symmetry_space_group_name_Hall 'C -2y'
loop_
_atom_site_label
_atom_site_type_symbol
_atom_site_fract_x
_atom_site_fract_y
_atom_site_fract_z
La1 La 0.000 0.000 0.000
La2 La 0.000 0.500 0.474
La3 La 0.222 0.000 0.500
Nd1 Nd 0.224 0.500 0.971
Cu1 Cu 0.359 0.000 0.987
Cu2 Cu 0.360 0.500 0.486
O1 O 0.045 0.000 0.434
O2 O 0.049 0.500 0.048
O3 O 0.175 0.500 0.551
O4 O 0.176 0.000 0.934
O5 O 0.348 0.252 0.234
O6 O 0.370 0.251 0.738
# energy = -7.742 eV per atom
# total moment = 0.000 Bohr magnetons per cell
# E_form (uncorrected) = -2.61 eV per atom

# TcAuS2, optimized geometry, DFT GGA-PBEsol
data_TcAuS2
_cell_length_a 3.2322
_cell_length_b 3.2322
_cell_length_c 23.1542
_cell_angle_alpha 90.00
_cell_angle_beta 90.00
_cell_angle_gamma 120.00
_symmetry_space_group_name_H-M 'R -3 m'
_symmetry_Int_Tables_number 166
_symmetry_space_group_name_Hall '-R 3 2"'
loop_
_atom_site_label
_atom_site_type_symbol
_atom_site_fract_x
_atom_site_fract_y
_atom_site_fract_z
Tc1 Tc 0.0000 0.0000 0.0000
Au1 Au 0.0000 0.0000 0.5000
S1 S 0.0000 0.0000 0.0944
# energy = -5.457 eV per atom
# total moment = 0.000 Bohr magnetons per cell
# E_form (uncorrected) = 0.53 eV per atom

# La2SiI2O4, optimized geometry, DFT GGA-PBEsol
data_La2SiI2O4
_cell_length_a 8.337
_cell_length_b 8.576
_cell_length_c 12.008
_cell_angle_alpha 109.44
_cell_angle_beta 98.83
_cell_angle_gamma 90.01
_symmetry_space_group_name_H-M 'P -1'
_symmetry_Int_Tables_number 2
_symmetry_space_group_name_Hall '-P 1'
loop_
_atom_site_label
_atom_site_type_symbol
_atom_site_fract_x
_atom_site_fract_y
_atom_site_fract_z
La1 La 0.140 0.285 0.311
La2 La 0.211 0.065 0.631
La3 La 0.277 0.784 0.311
La4 La 0.347 0.565 0.632
Si1 Si 0.059 0.693 0.478
Si2 Si 0.431 0.194 0.478
I1 I 0.012 0.093 0.859
I2 I 0.139 0.536 0.834
I3 I 0.353 0.407 0.141
I4 I 0.491 0.963 0.166
O1 O 0.053 0.854 0.432
O2 O 0.123 0.382 0.530
O3 O 0.129 0.764 0.623
O4 O 0.192 0.579 0.406
O5 O 0.267 0.079 0.407
O6 O 0.391 0.882 0.530
O7 O 0.416 0.354 0.432
O8 O 0.426 0.264 0.623
# energy = -7.346 eV per atom
# total moment = 0.000 Bohr magnetons per cell
# E_form (uncorrected) = -2.79 eV per atom

# Ca2CdTe2, optimized geometry, DFT GGA-PBEsol
data_Ca2CdTe2
_cell_length_a 8.528
_cell_length_b 8.528
_cell_length_c 4.009
_cell_angle_alpha 90.00
_cell_angle_beta 90.00
_cell_angle_gamma 90.00
_symmetry_space_group_name_H-M 'P 4/m b m'
_symmetry_Int_Tables_number 127
_symmetry_space_group_name_Hall '-P 4 2ab'
loop_
_atom_site_label
_atom_site_type_symbol
_atom_site_fract_x
_atom_site_fract_y
_atom_site_fract_z
Ca1 Ca 0.146 0.354 0.000
Cd1 Cd 0.000 0.000 0.000
Te1 Te 0.157 0.657 0.500
# energy = -3.559 eV per atom
# total moment = 0.000 Bohr magnetons per cell
# E_form (uncorrected) = -1.06 eV per atom

# YHgGe2I, optimized geometry, DFT GGA-PBEsol
data_YHgGe2I
_cell_length_a 5.352
_cell_length_b 5.352
_cell_length_c 5.372
_cell_angle_alpha 90.00
_cell_angle_beta 90.00
_cell_angle_gamma 90.00
_symmetry_space_group_name_H-M 'P 4/m m m'
_symmetry_Int_Tables_number 123
_symmetry_space_group_name_Hall '-P 4 2'
loop_
_atom_site_label
_atom_site_type_symbol
_atom_site_fract_x
_atom_site_fract_y
_atom_site_fract_z
Y1 Y 0.000 0.000 0.000
Hg1 Hg 0.500 0.500 0.000
Ge1 Ge 0.000 0.500 0.500
I1 I 0.500 0.500 0.500
# energy = -3.046 eV per atom
# total moment = 0.000 Bohr magnetons per cell
# E_form (uncorrected) = 0.76 eV per atom

# CsZr3Tl, optimized geometry, DFT GGA-PBEsol
data_CsZr3Tl
_cell_length_a 5.481
_cell_length_b 5.481
_cell_length_c 5.481
_cell_angle_alpha 90.00
_cell_angle_beta 90.00
_cell_angle_gamma 90.00
_symmetry_space_group_name_H-M 'P m -3 m'
_symmetry_Int_Tables_number 221
_symmetry_space_group_name_Hall '-P 4 2 3'
loop_
_atom_site_label
_atom_site_type_symbol
_atom_site_fract_x
_atom_site_fract_y
_atom_site_fract_z
Cs1 Cs 0.000 0.000 0.000
Zr1 Zr 0.000 0.500 0.500
Tl1 Tl 0.500 0.500 0.500
# energy = -4.832 eV per atom
# total moment = 0.008 Bohr magnetons per cell
# E_form = 1.34 eV/atom

# KRb2As, optimized geometry, DFT GGA-PBEsol
data_KRb2As
_cell_length_a 5.334
_cell_length_b 5.334
_cell_length_c 23.347
_cell_angle_alpha 90.00
_cell_angle_beta 90.00
_cell_angle_gamma 90.00
_symmetry_space_group_name_H-M 'I -4 2 d'
_symmetry_Int_Tables_number 122
_symmetry_space_group_name_Hall 'I -4 2bw'
loop_
_atom_site_label
_atom_site_type_symbol
_atom_site_fract_x
_atom_site_fract_y
_atom_site_fract_z
K1 K 0.000 0.000 0.000
Rb1 Rb 0.224 0.250 0.625
As1 As 0.000 0.000 0.500
# energy = -2.057 eV per atom
# total moment = 0.001 Bohr magnetons per cell
# E_form = 0.02 eV/atom

# TaTc2RhF, optimized geometry, DFT GGA-PBEsol
data_TaTc2RhF
_cell_length_a 3.995
_cell_length_b 3.995
_cell_length_c 4.361
_cell_angle_alpha 90.00
_cell_angle_beta 90.00
_cell_angle_gamma 90.00
_symmetry_space_group_name_H-M 'P 4/m m m'
_symmetry_Int_Tables_number 123
_symmetry_space_group_name_Hall '-P 4 2'
loop_
_atom_site_label
_atom_site_type_symbol
_atom_site_fract_x
_atom_site_fract_y
_atom_site_fract_z
Ta1 Ta 0.000 0.000 0.000
Tc1 Tc 0.000 0.500 0.500
Rh1 Rh 0.500 0.500 0.000
F1 F 0.500 0.500 0.500
# energy = -8.578 eV per atom
# total moment = 0.000 Bohr magnetons per cell
# E_form (uncorrected) = 0.45 eV per atom

# Sc2InGa, optimized geometry, DFT GGA-PBEsol
data_Sc2InGa
_cell_length_a 6.823
_cell_length_b 6.823
_cell_length_c 6.823
_cell_angle_alpha 90.00
_cell_angle_beta 90.00
_cell_angle_gamma 90.00
_symmetry_space_group_name_H-M 'F m -3 m'
_symmetry_Int_Tables_number 225
_symmetry_space_group_name_Hall '-F 4 2 3'
loop_
_atom_site_label
_atom_site_type_symbol
_atom_site_fract_x
_atom_site_fract_y
_atom_site_fract_z
Sc1 Sc 0.250 0.250 0.250
In1 In 0.000 0.000 0.000
Ga1 Ga 0.000 0.000 0.500
# energy = -5.413 eV per atom
# total moment = 0.000 Bohr magnetons per cell
# E_form = -0.53 eV/atom

# NaSiGe3, optimized geometry, DFT GGA-PBEsol
data_NaSiGe3
_cell_length_a 4.896
_cell_length_b 4.896
_cell_length_c 4.896
_cell_angle_alpha 90.00
_cell_angle_beta 90.00
_cell_angle_gamma 90.00
_symmetry_space_group_name_H-M 'P m -3 m'
_symmetry_Int_Tables_number 221
_symmetry_space_group_name_Hall '-P 4 2 3'
loop_
_atom_site_label
_atom_site_type_symbol
_atom_site_fract_x
_atom_site_fract_y
_atom_site_fract_z
Na1 Na 0.000 0.000 0.000
Si1 Si 0.500 0.500 0.500
Ge1 Ge 0.000 0.000 0.500
# energy = -3.122 eV per atom
# total moment = 0.000 Bohr magnetons per cell
# E_form (uncorrected) = 1.27 eV per atom

# Nb6GaSn, optimized geometry, DFT GGA-PBEsol
data_Nb6GaSn
_cell_length_a 5.208
_cell_length_b 5.208
_cell_length_c 5.208
_cell_angle_alpha 90.00
_cell_angle_beta 90.00
_cell_angle_gamma 90.00
_symmetry_space_group_name_H-M 'P m -3'
_symmetry_Int_Tables_number 200
_symmetry_space_group_name_Hall '-P 2 2 3'
loop_
_atom_site_label
_atom_site_type_symbol
_atom_site_fract_x
_atom_site_fract_y
_atom_site_fract_z
Nb1 Nb 0.000 0.245 0.500
Ga1 Ga 0.000 0.000 0.000
Sn1 Sn 0.500 0.500 0.500
# energy = -9.258 eV per atom
# total moment = 0.001 Bohr magnetons per cell
# E_form = -0.19 eV/atom

# TaReW, optimized geometry, DFT GGA-PBEsol
data_TaReW
_cell_length_a 6.091
_cell_length_b 6.091
_cell_length_c 6.091
_cell_angle_alpha 90.00
_cell_angle_beta 90.00
_cell_angle_gamma 90.00
_symmetry_space_group_name_H-M 'F -4 3 m'
_symmetry_Int_Tables_number 216
_symmetry_space_group_name_Hall 'F -4 2 3'
loop_
_atom_site_label
_atom_site_type_symbol
_atom_site_fract_x
_atom_site_fract_y
_atom_site_fract_z
Ta1 Ta 0.000 0.000 0.000
Re1 Re 0.250 0.250 0.750
W1 W 0.250 0.250 0.250
# energy = -12.045 eV per atom
# total moment = 0.005 Bohr magnetons per cell
# E_form = 1.19 eV/atom

# MgScTa2, optimized geometry, DFT GGA-PBEsol
data_MgScTa2
_cell_length_a 4.286
_cell_length_b 4.286
_cell_length_c 8.210
_cell_angle_alpha 90.00
_cell_angle_beta 90.00
_cell_angle_gamma 90.00
_symmetry_space_group_name_H-M 'I -4 m 2'
_symmetry_Int_Tables_number 119
_symmetry_space_group_name_Hall 'I -4 -2'
loop_
_atom_site_label
_atom_site_type_symbol
_atom_site_fract_x
_atom_site_fract_y
_atom_site_fract_z
Mg1 Mg 0.000 0.000 0.000
Sc1 Sc 0.000 0.500 0.250
Ta1 Ta 0.000 0.000 0.500
Ta2 Ta 0.000 0.500 0.750
# energy = -8.063 eV per atom
# total moment = 0.000 Bohr magnetons per cell
# E_form = 0.29 eV/atom

# La2TaHg, optimized geometry, DFT GGA-PBEsol
data_La2TaHg
_cell_length_a 7.876
_cell_length_b 8.020
_cell_length_c 3.281
_cell_angle_alpha 90.00
_cell_angle_beta 90.00
_cell_angle_gamma 90.00
_symmetry_space_group_name_H-M 'C m m m'
_symmetry_Int_Tables_number 65
_symmetry_space_group_name_Hall '-C 2 2'
loop_
_atom_site_label
_atom_site_type_symbol
_atom_site_fract_x
_atom_site_fract_y
_atom_site_fract_z
La1 La 0.250 0.250 0.000
Ta1 Ta 0.000 0.000 0.500
Hg1 Hg 0.000 0.500 0.500
# energy = -5.798 eV per atom
# total moment = 0.001 Bohr magnetons per cell
# E_form = 0.15 eV/atom

# Sr3GaN3, optimized geometry, DFT GGA-PBEsol
data_Sr3GaN3
_cell_length_a 7.5216
_cell_length_b 7.5216
_cell_length_c 5.3615
_cell_angle_alpha 90.00
_cell_angle_beta 90.00
_cell_angle_gamma 120.00
_symmetry_space_group_name_H-M 'P 63/m'
_symmetry_Int_Tables_number 176
_symmetry_space_group_name_Hall '-P 6c'
loop_
_atom_site_label
_atom_site_type_symbol
_atom_site_fract_x
_atom_site_fract_y
_atom_site_fract_z
Sr1 Sr 0.0721 0.3578 0.2500
Ga1 Ga 0.3333 0.6667 0.7500
N1 N 0.0935 0.4014 0.7500
# energy = -5.680 eV per atom
# total moment = 0.000 Bohr magnetons per cell
# E_form (uncorrected) = -0.76 eV per atom

# Ce2Al9Ir3, optimized geometry, DFT GGA-PBEsol
data_Ce2Al9Ir3
_cell_length_a 13.074
_cell_length_b 7.612
_cell_length_c 9.361
_cell_angle_alpha 90.00
_cell_angle_beta 90.00
_cell_angle_gamma 90.00
_symmetry_space_group_name_H-M 'C m c m'
_symmetry_Int_Tables_number 63
_symmetry_space_group_name_Hall '-C 2c 2'
loop_
_atom_site_label
_atom_site_type_symbol
_atom_site_fract_x
_atom_site_fract_y
_atom_site_fract_z
Ce1 Ce 0.163 0.166 0.250
Al1 Al 0.000 0.129 0.750
Al2 Al 0.000 0.334 0.051
Al3 Al 0.104 0.446 0.750
Al4 Al 0.167 0.169 0.575
Ir1 Ir 0.000 0.000 0.000
Ir2 Ir 0.172 0.500 0.000
# energy = -6.490 eV per atom
# total moment = 2.006 Bohr magnetons per cell
# E_form = -0.81 eV/atom

# NbMoRh3, optimized geometry, DFT GGA-PBEsol
data_NbMoRh3
_cell_length_a 4.548
_cell_length_b 4.548
_cell_length_c 4.548
_cell_angle_alpha 90.00
_cell_angle_beta 90.00
_cell_angle_gamma 90.00
_symmetry_space_group_name_H-M 'P m -3 m'
_symmetry_Int_Tables_number 221
_symmetry_space_group_name_Hall '-P 4 2 3'
loop_
_atom_site_label
_atom_site_type_symbol
_atom_site_fract_x
_atom_site_fract_y
_atom_site_fract_z
Nb1 Nb 0.000 0.000 0.000
Mo1 Mo 0.500 0.500 0.500
Rh1 Rh 0.000 0.500 0.500
# energy = -8.104 eV per atom
# total moment = 1.809 Bohr magnetons per cell
# E_form = 1.30 eV/atom

# Ta5Co, optimized geometry, DFT GGA-PBEsol
data_Ta5Co
_cell_length_a 10.131
_cell_length_b 3.254
_cell_length_c 6.283
_cell_angle_alpha 90.00
_cell_angle_beta 108.35
_cell_angle_gamma 90.00
_symmetry_space_group_name_H-M 'C 1 2/m 1'
_symmetry_Int_Tables_number 12
_symmetry_space_group_name_Hall '-C 2y'
loop_
_atom_site_label
_atom_site_type_symbol
_atom_site_fract_x
_atom_site_fract_y
_atom_site_fract_z
Ta1 Ta 0.000 0.000 0.000
Ta2 Ta 0.161 0.500 0.337
Ta3 Ta 0.163 0.500 0.824
Co1 Co 0.000 0.000 0.500
# energy = -11.794 eV per atom
# total moment = 0.000 Bohr magnetons per cell
# E_form = -0.04 eV/atom

# CuRuPt2, optimized geometry, DFT GGA-PBEsol
data_CuRuPt2
_cell_length_a 5.364
_cell_length_b 7.664
_cell_length_c 2.676
_cell_angle_alpha 90.00
_cell_angle_beta 90.00
_cell_angle_gamma 90.00
_symmetry_space_group_name_H-M 'C m m m'
_symmetry_Int_Tables_number 65
_symmetry_space_group_name_Hall '-C 2 2'
loop_
_atom_site_label
_atom_site_type_symbol
_atom_site_fract_x
_atom_site_fract_y
_atom_site_fract_z
Cu1 Cu 0.000 0.000 0.000
Ru1 Ru 0.000 0.500 0.000
Pt1 Pt 0.250 0.250 0.500
# energy = -7.112 eV per atom
# total moment = 0.005 Bohr magnetons per cell
# E_form = 0.00 eV/atom

# MgTiSi3, optimized geometry, DFT GGA-PBEsol
data_MgTiSi3
_cell_length_a 4.716
_cell_length_b 4.716
_cell_length_c 4.716
_cell_angle_alpha 90.00
_cell_angle_beta 90.00
_cell_angle_gamma 90.00
_symmetry_space_group_name_H-M 'P m -3 m'
_symmetry_Int_Tables_number 221
_symmetry_space_group_name_Hall '-P 4 2 3'
loop_
_atom_site_label
_atom_site_type_symbol
_atom_site_fract_x
_atom_site_fract_y
_atom_site_fract_z
Mg1 Mg 0.000 0.000 0.000
Ti1 Ti 0.500 0.500 0.500
Si1 Si 0.000 0.500 0.500
# energy = -5.022 eV per atom
# total moment = 0.000 Bohr magnetons per cell
# E_form (uncorrected) = 0.43 eV per atom

# LiCl3, optimized geometry, DFT GGA-PBEsol
data_LiCl3
_cell_length_a 3.7385
_cell_length_b 3.7385
_cell_length_c 6.7869
_cell_angle_alpha 90.00
_cell_angle_beta 90.00
_cell_angle_gamma 120.00
_symmetry_space_group_name_H-M 'P -6 m 2'
_symmetry_Int_Tables_number 187
_symmetry_space_group_name_Hall 'P -6 2'
loop_
_atom_site_label
_atom_site_type_symbol
_atom_site_fract_x
_atom_site_fract_y
_atom_site_fract_z
Li1 Li 0.0000 0.0000 0.0000
Cl1 Cl 0.0000 0.0000 0.5000
Cl2 Cl 0.6667 0.3333 0.1784
# energy = -2.509 eV per atom
# total moment = 0.000 Bohr magnetons per cell
# E_form (uncorrected) = -0.51 eV per atom

# AsRh, optimized geometry, DFT GGA-PBEsol
data_AsRh
_cell_length_a 5.034
_cell_length_b 5.034
_cell_length_c 5.034
_cell_angle_alpha 90.00
_cell_angle_beta 90.00
_cell_angle_gamma 90.00
_symmetry_space_group_name_H-M 'F m -3 m'
_symmetry_Int_Tables_number 225
_symmetry_space_group_name_Hall '-F 4 2 3'
loop_
_atom_site_label
_atom_site_type_symbol
_atom_site_fract_x
_atom_site_fract_y
_atom_site_fract_z
As1 As 0.000 0.000 0.000
Rh1 Rh 0.000 0.000 0.500
# energy = -6.666 eV per atom
# total moment = 0.000 Bohr magnetons per cell
# E_form = -0.04 eV/atom

# BaSrSb2, optimized geometry, DFT GGA-PBEsol
data_BaSrSb2
_cell_length_a 8.176
_cell_length_b 8.176
_cell_length_c 8.176
_cell_angle_alpha 90.00
_cell_angle_beta 90.00
_cell_angle_gamma 90.00
_symmetry_space_group_name_H-M 'F m -3 m'
_symmetry_Int_Tables_number 225
_symmetry_space_group_name_Hall '-F 4 2 3'
loop_
_atom_site_label
_atom_site_type_symbol
_atom_site_fract_x
_atom_site_fract_y
_atom_site_fract_z
Ba1 Ba 0.000 0.000 0.000
Sr1 Sr 0.000 0.000 0.500
Sb1 Sb 0.250 0.250 0.250
# energy = -4.087 eV per atom
# total moment = 0.006 Bohr magnetons per cell
# E_form (uncorrected) = -0.81 eV per atom

# ScCd2BiO, optimized geometry, DFT GGA-PBEsol
data_ScCd2BiO
_cell_length_a 5.529
_cell_length_b 5.529
_cell_length_c 5.568
_cell_angle_alpha 90.00
_cell_angle_beta 90.00
_cell_angle_gamma 90.00
_symmetry_space_group_name_H-M 'P 4/m m m'
_symmetry_Int_Tables_number 123
_symmetry_space_group_name_Hall '-P 4 2'
loop_
_atom_site_label
_atom_site_type_symbol
_atom_site_fract_x
_atom_site_fract_y
_atom_site_fract_z
Sc1 Sc 0.000 0.000 0.000
Cd1 Cd 0.000 0.500 0.500
Bi1 Bi 0.000 0.000 0.500
O1 O 0.500 0.500 0.000
# energy = -2.829 eV per atom
# total moment = 0.338 Bohr magnetons per cell
# E_form (uncorrected) = 0.88 eV per atom